DFT (GGA-PBE) results for a relaxed TbNdAs2Pt2 crystal.

Output
Raw total energy ... -76.66 eV for the cell shown
Energy relative to the lowest polymorph listed for this composition ... 0 meV/atom
Calculated density ... 11.135 g cm⁻³
Magnetic moment ... 0.00 μB/f.u.

abc: 4.326 4.326 15.519
angles: 90.00 90.00 120.00
Sites, in units of the cell vectors:
Tb (0.000, 0.000, 0.250)
Tb (0.000, 0.000, 0.750)
Nd (0.000, 0.000, 0.000)
Nd (0.000, 0.000, 0.500)
As (0.333, 0.667, 0.120)
As (0.333, 0.667, 0.380)
As (0.667, 0.333, 0.620)
As (0.667, 0.333, 0.880)
Pt (0.333, 0.667, 0.640)
Pt (0.333, 0.667, 0.860)
Pt (0.667, 0.333, 0.140)
Pt (0.667, 0.333, 0.360)